Entry 1:
# NdDyCoCu, relaxed, DFT PBE-GGA
# Calculated volume: 20.8 A^3/atom
# Energy of formation from the pure elements: -0.11 eV/atom
# Relative energy among the computed polymorphs: 43 meV/atom
# DOS(E_F): 14.58 states/eV per cell
# DFT total energy: -5.251 eV/atom
# Crystal system: cubic
data_NdDyCoCu
_chemical_formula_sum 'Nd4 Dy4 Co4 Cu4'
_space_group_name_H-M_alt 'F -4 3 m'
_space_group_IT_number 216
_space_group_name_Hall 'F -4 2 3'
_cell_length_a 6.9270
_cell_length_b 6.9270
_cell_length_c 6.9270
_cell_angle_alpha 90.00
_cell_angle_beta 90.00
_cell_angle_gamma 90.00
loop_
_atom_site_label
_atom_site_fract_x
_atom_site_fract_y
_atom_site_fract_z
_atom_site_occupancy
Nd1 0.0000 0.0000 0.0000 1
Dy1 0.0000 0.0000 0.5000 1
Co1 0.2500 0.2500 0.2500 1
Cu1 0.2500 0.2500 0.7500 1



Entry 2:
# Zn2CdRe, relaxed, DFT PBE-GGA
# Calculated volume: 15.8 A^3/atom
# Energy of formation from the pure elements: 0.29 eV/atom
# DOS(E_F): 2.89 states/eV per cell
# DFT total energy: -3.687 eV/atom
# Crystal system: monoclinic
data_Zn2CdRe
_chemical_formula_sum 'Zn4 Cd2 Re2'
_space_group_name_H-M_alt 'C 1 2/m 1'
_space_group_IT_number 12
_space_group_name_Hall '-C 2y'
_cell_length_a 5.6924
_cell_length_b 8.0045
_cell_length_c 2.7724
_cell_angle_alpha 90.00
_cell_angle_beta 90.47
_cell_angle_gamma 90.00
loop_
_atom_site_label
_atom_site_fract_x
_atom_site_fract_y
_atom_site_fract_z
_atom_site_occupancy
Zn1 0.2500 0.2500 0.0000 1
Cd1 0.0000 0.0000 0.5000 1
Re1 0.0000 0.5000 0.5000 1



Entry 3:
# Ce2Y4Sb3N2, relaxed, DFT PBE-GGA
# Calculated volume: 25.4 A^3/atom
# Raw formation energy: -1.19 eV/atom
# DOS(E_F): 29.69 states/eV per cell
# DFT total energy: -7.255 eV/atom
# Crystal system: tetragonal
data_Ce2Y4Sb3N2
_chemical_formula_sum 'Ce4 Y8 Sb6 N4'
_space_group_name_H-M_alt 'I 4/m m m'
_space_group_IT_number 139
_space_group_name_Hall '-I 4 2'
_cell_length_a 4.6909
_cell_length_b 4.6909
_cell_length_c 25.3779
_cell_angle_alpha 90.00
_cell_angle_beta 90.00
_cell_angle_gamma 90.00
loop_
_atom_site_label
_atom_site_fract_x
_atom_site_fract_y
_atom_site_fract_z
_atom_site_occupancy
Ce1 0.0000 0.0000 0.1919 1
Y1 0.0000 0.5000 0.0827 1
Sb1 0.0000 0.0000 0.3245 1
Sb2 0.0000 0.0000 0.5000 1
N1 0.0000 0.0000 0.1014 1



Entry 4:
# SrEr4Cd5, relaxed, DFT PBE-GGA
# Calculated volume: 26.9 A^3/atom
# Energy of formation from the pure elements: -0.31 eV/atom
# DOS(E_F): 7.95 states/eV per cell
# DFT total energy: -2.764 eV/atom
# Crystal system: tetragonal
data_SrEr4Cd5
_chemical_formula_sum 'Sr1 Er4 Cd5'
_space_group_name_H-M_alt 'P 4/m m m'
_space_group_IT_number 123
_space_group_name_Hall '-P 4 2'
_cell_length_a 3.7640
_cell_length_b 3.7640
_cell_length_c 18.9743
_cell_angle_alpha 90.00
_cell_angle_beta 90.00
_cell_angle_gamma 90.00
loop_
_atom_site_label
_atom_site_fract_x
_atom_site_fract_y
_atom_site_fract_z
_atom_site_occupancy
Sr1 0.0000 0.0000 0.0000 1
Er1 0.0000 0.0000 0.2115 1
Er2 0.0000 0.0000 0.4041 1
Cd1 0.5000 0.5000 0.1197 1
Cd2 0.5000 0.5000 0.3074 1
Cd3 0.5000 0.5000 0.5000 1



Entry 5:
# Sr2Cd2F, relaxed, DFT PBE-GGA
# Calculated volume: 30.6 A^3/atom
# Raw formation energy: -1.10 eV/atom
# DOS(E_F): 6.84 states/eV per cell
# DFT total energy: -2.515 eV/atom
# Crystal system: tetragonal
data_Sr2Cd2F
_chemical_formula_sum 'Sr4 Cd4 F2'
_space_group_name_H-M_alt 'P 4/m b m'
_space_group_IT_number 127
_space_group_name_Hall '-P 4 2ab'
_cell_length_a 7.2942
_cell_length_b 7.2942
_cell_length_c 5.7492
_cell_angle_alpha 90.00
_cell_angle_beta 90.00
_cell_angle_gamma 90.00
loop_
_atom_site_label
_atom_site_fract_x
_atom_site_fract_y
_atom_site_fract_z
_atom_site_occupancy
Sr1 0.1919 0.3081 0.0000 1
Cd1 0.1350 0.6350 0.5000 1
F1 0.0000 0.0000 0.0000 1



Entry 6:
# HfTl2I5Cl, relaxed, DFT PBE-GGA
# Calculated volume: 44.3 A^3/atom
# Raw formation energy: -0.91 eV/atom
# DOS(E_F): 0.00 states/eV per cell
# DFT total energy: -3.607 eV/atom
# Crystal system: tetragonal
data_HfTl2I5Cl
_chemical_formula_sum 'Hf2 Tl4 I10 Cl2'
_space_group_name_H-M_alt 'I 4 m m'
_space_group_IT_number 107
_space_group_name_Hall 'I 4 -2'
_cell_length_a 8.2469
_cell_length_b 8.2469
_cell_length_c 11.7360
_cell_angle_alpha 90.00
_cell_angle_beta 90.00
_cell_angle_gamma 90.00
loop_
_atom_site_label
_atom_site_fract_x
_atom_site_fract_y
_atom_site_fract_z
_atom_site_occupancy
Hf1 0.0000 0.0000 0.0000 1
Tl1 0.0000 0.5000 0.1738 1
I1 0.0000 0.0000 0.2431 1
I2 0.2467 0.2467 0.0051 1
Cl1 0.0000 0.0000 0.7965 1



Entry 7:
# LaScRuW2, relaxed, DFT PBE-GGA
# Calculated volume: 22.8 A^3/atom
# Energy of formation from the pure elements: 2.19 eV/atom
# DOS(E_F): 8.33 states/eV per cell
# DFT total energy: -7.103 eV/atom
# Crystal system: tetragonal
data_LaScRuW2
_chemical_formula_sum 'La1 Sc1 Ru1 W2'
_space_group_name_H-M_alt 'P 4/m m m'
_space_group_IT_number 123
_space_group_name_Hall '-P 4 2'
_cell_length_a 4.6344
_cell_length_b 4.6344
_cell_length_c 5.3101
_cell_angle_alpha 90.00
_cell_angle_beta 90.00
_cell_angle_gamma 90.00
loop_
_atom_site_label
_atom_site_fract_x
_atom_site_fract_y
_atom_site_fract_z
_atom_site_occupancy
La1 0.0000 0.0000 0.0000 1
Sc1 0.0000 0.0000 0.5000 1
Ru1 0.5000 0.5000 0.0000 1
W1 0.0000 0.5000 0.5000 1



Entry 8:
# Na3Pu3InSe8, relaxed, DFT PBE-GGA
# Calculated volume: 27.8 A^3/atom
# Raw formation energy: -1.21 eV/atom
# DOS(E_F): 83.55 states/eV per cell
# DFT total energy: -6.377 eV/atom
# Crystal system: trigonal
data_Na3Pu3InSe8
_chemical_formula_sum 'Na9 Pu9 In3 Se24'
_space_group_name_H-M_alt 'R -3 m'
_space_group_IT_number 166
_space_group_name_Hall '-R 3 2"'
_cell_length_a 8.3107
_cell_length_b 8.3107
_cell_length_c 20.9508
_cell_angle_alpha 90.00
_cell_angle_beta 90.00
_cell_angle_gamma 120.00
loop_
_atom_site_label
_atom_site_fract_x
_atom_site_fract_y
_atom_site_fract_z
_atom_site_occupancy
Na1 0.0000 0.5000 0.0000 1
Pu1 0.0000 0.5000 0.5000 1
In1 0.0000 0.0000 0.5000 1
Se1 0.0000 0.0000 0.2429 1
Se2 0.0051 0.5026 0.2414 1



- Which of these has the highest DFT total energy?
  Sr2Cd2F